# 1
{"formula": "CaCu2Rh2", "functional": "PBE", "state": "relaxed", "cell": [[7.371, 0.000, 0.000], [0.000, 7.371, 0.000], [0.000, 0.000, 2.913]], "species": ["Ca", "Ca", "Cu", "Cu", "Cu", "Cu", "Rh", "Rh", "Rh", "Rh"], "frac_coords": [[0.000, 0.000, 0.000], [0.500, 0.500, 0.000], [0.169, 0.331, 0.500], [0.331, 0.831, 0.500], [0.669, 0.169, 0.500], [0.831, 0.669, 0.500], [0.127, 0.627, 0.000], [0.373, 0.127, 0.000], [0.627, 0.873, 0.000], [0.873, 0.373, 0.000]], "sg": "No. 127", "e_above_lowest_polymorph_mev_per_atom": 0.0, "dos_ef_per_ev_atom": 0.905}

=====

# 2
{"formula": "CaCuRh", "functional": "PBE", "state": "relaxed", "cell": [[4.730, -2.795, 0.000], [4.730, 2.795, 0.000], [-2.293, 0.000, 4.110]], "species": ["Ca", "Ca", "Cu", "Cu", "Rh", "Rh"], "frac_coords": [[0.128, 0.128, 0.377], [0.872, 0.872, 0.623], [0.486, 0.486, 0.737], [0.514, 0.514, 0.263], [0.000, 0.500, 0.000], [0.500, 0.000, 0.000]], "sg": "No. 12", "e_above_lowest_polymorph_mev_per_atom": 254.4, "dos_ef_per_ev_atom": 0.875}

=====

# 3
{"formula": "Ca2Cu3Rh", "functional": "PBE", "state": "relaxed", "cell": [[4.475, -2.599, 0.000], [4.475, 2.599, 0.000], [-2.996, 0.000, 4.487]], "species": ["Ca", "Ca", "Cu", "Cu", "Cu", "Rh"], "frac_coords": [[0.126, 0.126, 0.378], [0.874, 0.874, 0.622], [0.000, 0.500, 0.000], [0.500, 0.000, 0.000], [0.500, 0.500, 0.000], [0.500, 0.500, 0.500]], "sg": "No. 12", "dos_ef_per_ev_atom": 0.268}

=====

# 4
{"formula": "CaCu3Rh", "functional": "PBE", "state": "relaxed", "cell": [[2.716, -3.984, 0.000], [2.716, 3.984, 0.000], [0.000, 0.000, 4.684]], "species": ["Ca", "Cu", "Cu", "Cu", "Rh"], "frac_coords": [[0.000, 0.000, 0.000], [0.000, 0.500, 0.500], [0.500, 0.000, 0.500], [0.500, 0.500, 0.000], [0.500, 0.500, 0.500]], "sg": "No. 65", "e_above_lowest_polymorph_mev_per_atom": 0.0, "dos_ef_per_ev_atom": 0.830}

=====

no.,energy of formation (eV/atom),size of the total moment (μB/cell)
1,-0.033,0.00
2,-0.095,0.00
3,-0.281,0.00
4,0.284,0.00